# 1
This record from Alexandria via LeMat-Bulk describes a relaxed K2BaRe crystal. The functional is PBE.

POSCAR file:
```
K2BaRe
1.0
-2.267 -3.327 4.476
-5.500 1.185 2.144
-4.536 -3.809 -1.080
K Re Ba
2 1 1
Direct
0.250 0.250 0.250
0.750 0.750 0.750
0.500 0.500 0.500
0.000 0.000 0.000
```

Properties
- Calculated total energy: -10.67 eV/cell
- Volume: 38.583 Å³ per atom
- Magnetic moment: 2.79 μB per formula unit
- Symmetry: Fm-3m (225)
- Density of states at the Fermi level: 4.98 states/eV/cell



# 2
This record from Alexandria via LeMat-Bulk describes a relaxed PrYCu crystal. The functional is PBE.

POSCAR file:
```
PrYCu
1.0
5.029 0.000 0.000
-2.514 4.403 -0.351
0.000 -2.414 7.367
Y Pr Cu
2 2 2
Direct
0.796 0.593 0.388
0.204 0.407 0.612
0.623 0.246 0.873
0.377 0.754 0.127
0.929 0.858 0.798
0.071 0.142 0.202
```

Properties
- Calculated total energy: -30.62 eV/cell
- Volume: 26.474 Å³ per atom
- Magnetic moment: 0.00 μB per formula unit
- Symmetry: C2/m (12)
- Density of states at the Fermi level: 5.88 states/eV/cell



# 3
This record from Alexandria via LeMat-Bulk describes a relaxed TcSe crystal. The functional is PBE.

POSCAR file:
```
TcSe
1.0
6.781 0.000 0.000
0.000 6.781 0.000
0.000 0.000 3.935
Tc Se
4 4
Direct
0.352 0.352 0.000
0.148 0.852 0.500
0.648 0.648 0.000
0.852 0.148 0.500
0.296 0.704 0.000
0.204 0.204 0.500
0.796 0.796 0.500
0.704 0.296 0.000
```

Properties
- Calculated total energy: -52.47 eV/cell
- Volume: 22.615 Å³ per atom
- Magnetic moment: 0.00 μB per formula unit
- Symmetry: P4_2/mnm (136)
- Uncorrected formation energy: 0.367 eV per atom
- Density of states at the Fermi level: 8.82 states/eV/cell



# 4
This record from Alexandria via LeMat-Bulk describes a relaxed PmSmLuPb crystal. The functional is PBE.

POSCAR file:
```
PmSmLuPb
1.0
-4.845 -0.982 -2.492
-0.253 -3.507 -4.276
-2.473 -4.917 0.595
Pm Sm Pb Lu
1 1 1 1
Direct
0.000 0.000 0.000
0.500 0.500 0.500
0.750 0.750 0.750
0.250 0.250 0.250
```

Properties
- Calculated total energy: -18.26 eV/cell
- Volume: 29.992 Å³ per atom
- Magnetic moment: 0.00 μB per formula unit
- Symmetry: F-43m (216)
- Density of states at the Fermi level: 7.07 states/eV/cell



# 5
This record from Alexandria via LeMat-Bulk describes a relaxed Ac2Y12Ho5 crystal. The functional is PBE.

POSCAR file:
```
Ac2Y12Ho5
1.0
-1.125 -0.397 -6.820
14.093 -5.544 0.623
-16.099 0.104 3.020
Y Ho Ac
12 5 2
Direct
0.621 0.539 0.288
0.924 0.548 0.737
0.917 0.001 0.249
0.076 0.452 0.263
0.432 0.061 0.239
0.379 0.461 0.712
0.883 0.403 0.015
0.568 0.939 0.761
0.389 0.484 0.063
0.611 0.516 0.937
0.117 0.597 0.985
0.083 0.999 0.751
0.000 0.000 0.500
0.416 0.943 0.555
0.233 0.465 0.502
0.584 0.057 0.445
0.767 0.535 0.498
0.267 0.052 0.013
0.733 0.948 0.987
```

Properties
- Calculated total energy: -106.50 eV/cell
- Volume: 33.608 Å³ per atom
- Magnetic moment: 0.00 μB per formula unit
- Symmetry: P-1 (2)
- Density of states at the Fermi level: 31.70 states/eV/cell



# 6
This record from Alexandria via LeMat-Bulk describes a relaxed HfBeI3 crystal. The functional is PBE.

POSCAR file:
```
HfBeI3
1.0
5.151 0.000 0.000
0.000 5.151 0.000
0.000 0.000 5.151
I Hf Be
3 1 1
Direct
0.000 0.500 0.000
0.000 0.000 0.500
0.500 0.000 0.000
0.500 0.500 0.500
0.000 0.000 0.000
```

Properties
- Calculated total energy: -15.63 eV/cell
- Volume: 27.328 Å³ per atom
- Magnetic moment: 1.18 μB per formula unit
- Symmetry: Pm-3m (221)
- Uncorrected formation energy: 0.540 eV per atom
- Density of states at the Fermi level: 5.94 states/eV/cell